Compound: MgFeOs2
Source: Alexandria
Functional: PBE
Structure: optimized geometry

Properties
For the formation energy, the calculation gives 29.9 kJ/mol of atoms. The calculation puts the magnetic moment at 3.16 μB per formula unit. As for the space-group type: No. 65.

```
MgFeOs2
1.0
2.691 0.016 0.000
-1.133 2.441 0.000
0.000 0.000 8.803
Fe Mg Os
1 1 2
direct
0.500 0.500 0.250
0.500 0.500 0.750
0.000 0.000 0.013
0.000 0.000 0.487
```

Compound: MgFe2Os
Source: Alexandria
Functional: PBE
Structure: optimized geometry

Properties
For the formation energy, the calculation gives 23.5 kJ/mol of atoms. The calculation puts the magnetic moment at 5.21 μB per formula unit. As for the space-group type: No. 35.

```
MgFe2Os
1.0
-0.119 2.313 1.291
-2.301 -1.311 0.138
2.622 -3.850 7.135
Os Mg Fe
1 1 2
direct
0.500 0.500 0.765
0.000 0.000 0.495
0.000 0.000 0.009
0.500 0.500 0.231
```

Compound: MgFe2Os
Source: Alexandria
Functional: PBE
Structure: optimized geometry

Properties
For the formation energy, the calculation gives 23.4 kJ/mol of atoms. The calculation puts the magnetic moment at 4.86 μB per formula unit. As for the space-group type: No. 160.

```
MgFe2Os
1.0
-2.797 -5.145 6.587
-3.331 -6.811 4.495
-0.836 -6.760 5.594
Fe Os Mg
2 1 1
direct
0.999 0.999 0.999
0.257 0.257 0.257
0.744 0.744 0.744
0.501 0.501 0.501
```

| no. | DOS at the Fermi energy (states/eV/f.u.) |
| --- | --- |
| 1 | 4.3 |
| 2 | 2.8 |
| 3 | 3.9 |